A geometry-optimized Sm4Ta6O19 structure. Source: the Alexandria database, functional PBE-GGA.

Values from the calculation:
- E_form (uncorrected) (eV/atom) = -2.94
- Fermi-level density of states (states/eV per atom) = 0.220
- magnetization (μB per cell) = 2.0

Cell lengths 7.996, 7.996, 7.996 Å; angles 109.47, 109.47, 109.47 degrees
Each line ends with the local moment (μB).
Atoms (fractional coordinates):
1 Sm 0.000 0.000 0.708  0.01
2 Sm 0.000 0.708 0.000  0.01
3 Sm 0.292 0.292 0.292  0.01
4 Sm 0.708 0.000 0.000  0.01
5 Ta 0.349 0.500 0.849  0.22
6 Ta 0.651 0.500 0.151  0.22
7 Ta 0.151 0.651 0.500  0.22
8 Ta 0.849 0.349 0.500  0.22
9 Ta 0.500 0.849 0.349  0.22
10 Ta 0.500 0.151 0.651  0.22
11 O 0.670 0.000 0.670  0.03
12 O 0.330 0.000 0.330  0.03
13 O 0.330 0.330 0.000  0.03
14 O 0.670 0.670 0.000  0.03
15 O 0.000 0.670 0.670  0.03
16 O 0.000 0.330 0.330  0.03
17 O 0.000 0.000 0.000  0.01
18 O 0.360 0.322 0.615  0.01
19 O 0.640 0.255 0.963  0.01
20 O 0.707 0.745 0.385  0.01
21 O 0.963 0.640 0.255  0.01
22 O 0.293 0.678 0.037  0.01
23 O 0.615 0.360 0.322  0.01
24 O 0.037 0.293 0.678  0.01
25 O 0.385 0.707 0.745  0.01
26 O 0.678 0.037 0.293  0.01
27 O 0.255 0.963 0.640  0.01
28 O 0.322 0.615 0.360  0.01
29 O 0.745 0.385 0.707  0.01


A geometry-optimized Sm2TaO6 structure. Source: the Alexandria database, functional PBE-GGA.

Values from the calculation:
- E_form (uncorrected) (eV/atom) = -2.95
- Fermi-level density of states (states/eV per atom) = 0.561
- magnetization (μB per cell) = 2.1

Cell lengths 5.145, 5.145, 10.340 Å; angles 90.00, 90.00, 90.00 degrees
Each line ends with the local moment (μB).
Atoms (fractional coordinates):
1 Sm 0.000 0.000 0.331  -0.01
2 Sm 0.500 0.500 0.831  -0.01
3 Sm 0.500 0.500 0.169  -0.01
4 Sm 0.000 0.000 0.669  -0.01
5 Ta 0.000 0.000 0.000  -0.05
6 Ta 0.500 0.500 0.500  -0.05
7 O 0.316 0.316 0.355  0.12
8 O 0.684 0.684 0.355  0.12
9 O 0.184 0.816 0.855  0.12
10 O 0.816 0.184 0.855  0.12
11 O 0.184 0.816 0.145  0.12
12 O 0.816 0.184 0.145  0.12
13 O 0.316 0.316 0.645  0.12
14 O 0.684 0.684 0.645  0.12
15 O 0.277 0.277 0.000  0.21
16 O 0.723 0.723 0.000  0.21
17 O 0.223 0.777 0.500  0.21
18 O 0.777 0.223 0.500  0.21


A geometry-optimized Sm2Ta2O7 structure. Source: the Alexandria database, functional PBE-GGA.

Values from the calculation:
- E_form (uncorrected) (eV/atom) = -2.99
- Fermi-level density of states (states/eV per atom) = 0.353
- magnetization (μB per cell) = 0.1

Cell lengths 7.404, 7.404, 7.404 Å; angles 60.00, 60.00, 60.00 degrees
Atoms (fractional coordinates):
1 Sm 0.625 0.625 0.625
2 Sm 0.625 0.625 0.125
3 Sm 0.625 0.125 0.625
4 Sm 0.125 0.625 0.625
5 Ta 0.625 0.125 0.125
6 Ta 0.125 0.625 0.125
7 Ta 0.125 0.125 0.625
8 Ta 0.125 0.125 0.125
9 O 0.217 0.217 0.783
10 O 0.217 0.783 0.217
11 O 0.467 0.033 0.467
12 O 0.467 0.467 0.033
13 O 0.750 0.750 0.750
14 O 0.783 0.217 0.217
15 O 0.467 0.033 0.033
16 O 0.033 0.467 0.467
17 O 0.033 0.033 0.467
18 O 0.033 0.467 0.033
19 O 0.217 0.783 0.783
20 O 0.500 0.500 0.500
21 O 0.783 0.217 0.783
22 O 0.783 0.783 0.217


A geometry-optimized Sm3TaO7 structure. Source: the Alexandria database, functional PBE-GGA.

Values from the calculation:
- E_form (uncorrected) (eV/atom) = -3.05
- Fermi-level density of states (states/eV per atom) = 0.000
- magnetization (μB per cell) = 0.0

Cell lengths 8.298, 8.298, 5.476 Å; angles 90.00, 90.00, 125.17 degrees
Atoms (fractional coordinates):
1 Sm 0.882 0.118 0.527
2 Sm 0.000 0.500 0.000
3 Sm 0.382 0.618 0.473
4 Sm 0.118 0.882 0.473
5 Sm 0.500 0.000 0.000
6 Sm 0.618 0.382 0.527
7 Ta 0.250 0.250 0.000
8 Ta 0.750 0.750 0.000
9 O 0.489 0.511 0.207
10 O 0.011 0.989 0.207
11 O 0.989 0.011 0.793
12 O 0.162 0.394 0.767
13 O 0.250 0.750 0.245
14 O 0.511 0.489 0.793
15 O 0.606 0.838 0.767
16 O 0.338 0.106 0.767
17 O 0.662 0.894 0.233
18 O 0.750 0.250 0.755
19 O 0.894 0.662 0.767
20 O 0.106 0.338 0.233
21 O 0.838 0.606 0.233
22 O 0.394 0.162 0.233


A geometry-optimized Sm3TaO7 structure. Source: the Alexandria database, functional PBE-GGA.

Values from the calculation:
- E_form (uncorrected) (eV/atom) = -3.35
- Fermi-level density of states (states/eV per atom) = 0.000
- magnetization (μB per cell) = 0.0

Cell lengths 7.584, 7.695, 10.835 Å; angles 90.00, 90.00, 90.00 degrees
Atoms (fractional coordinates):
1 Sm 0.013 0.795 0.250
2 Sm 0.252 0.962 0.522
3 Sm 0.252 0.962 0.978
4 Sm 0.248 0.462 0.022
5 Sm 0.248 0.462 0.478
6 Sm 0.487 0.295 0.750
7 Sm 0.513 0.705 0.250
8 Sm 0.752 0.538 0.522
9 Sm 0.752 0.538 0.978
10 Sm 0.748 0.038 0.022
11 Sm 0.748 0.038 0.478
12 Sm 0.987 0.205 0.750
13 Ta 0.999 0.750 0.750
14 Ta 0.501 0.250 0.250
15 Ta 0.499 0.750 0.750
16 Ta 0.001 0.250 0.250
17 O 0.035 0.050 0.127
18 O 0.035 0.050 0.373
19 O 0.041 0.591 0.613
20 O 0.041 0.591 0.887
21 O 0.247 0.328 0.250
22 O 0.257 0.731 0.117
23 O 0.257 0.731 0.383
24 O 0.243 0.231 0.617
25 O 0.243 0.231 0.883
26 O 0.253 0.828 0.750
27 O 0.459 0.091 0.113
28 O 0.459 0.091 0.387
29 O 0.465 0.550 0.627
30 O 0.465 0.550 0.873
31 O 0.535 0.450 0.127
32 O 0.535 0.450 0.373
33 O 0.541 0.909 0.613
34 O 0.541 0.909 0.887
35 O 0.747 0.172 0.250
36 O 0.757 0.769 0.117
37 O 0.757 0.769 0.383
38 O 0.743 0.269 0.617
39 O 0.743 0.269 0.883
40 O 0.753 0.672 0.750
41 O 0.959 0.409 0.113
42 O 0.959 0.409 0.387
43 O 0.965 0.950 0.627
44 O 0.965 0.950 0.873


A geometry-optimized Sm3TaO7 structure. Source: the Alexandria database, functional PBE-GGA.

Values from the calculation:
- E_form (uncorrected) (eV/atom) = -3.34
- Fermi-level density of states (states/eV per atom) = 0.000
- magnetization (μB per cell) = 0.0

Cell lengths 6.599, 6.599, 7.651 Å; angles 90.00, 90.00, 110.81 degrees
Atoms (fractional coordinates):
1 Sm 0.519 0.063 0.250
2 Sm 0.937 0.481 0.750
3 Sm 0.000 0.000 0.000
4 Sm 0.000 0.000 0.500
5 Sm 0.481 0.937 0.750
6 Sm 0.063 0.519 0.250
7 Ta 0.500 0.500 0.000
8 Ta 0.500 0.500 0.500
9 O 0.889 0.153 0.250
10 O 0.847 0.111 0.750
11 O 0.817 0.562 0.034
12 O 0.817 0.562 0.466
13 O 0.438 0.183 0.966
14 O 0.438 0.183 0.534
15 O 0.571 0.571 0.750
16 O 0.429 0.429 0.250
17 O 0.562 0.817 0.034
18 O 0.183 0.438 0.534
19 O 0.183 0.438 0.966
20 O 0.562 0.817 0.466
21 O 0.111 0.847 0.750
22 O 0.153 0.889 0.250


A geometry-optimized Tb2SmTaO8 structure. Source: the Alexandria database, functional PBE-GGA.

Values from the calculation:
- E_form (uncorrected) (eV/atom) = -2.90
- Fermi-level density of states (states/eV per atom) = 0.274
- magnetization (μB per cell) = 2.0

Cell lengths 3.764, 5.514, 7.429 Å; angles 90.01, 86.81, 90.00 degrees
Each line ends with the local moment (μB).
Atoms (fractional coordinates):
1 Tb 0.483 0.500 0.748  0.01
2 Tb 0.517 0.500 0.252  0.01
3 Sm 0.000 0.000 0.500  -0.01
4 Ta 0.000 0.000 0.000  -0.06
5 O 0.015 0.762 0.213  0.20
6 O 0.500 0.785 0.000  0.36
7 O 0.015 0.238 0.213  0.20
8 O 0.985 0.238 0.787  0.20
9 O 0.500 0.215 0.000  0.36
10 O 0.985 0.762 0.787  0.20
11 O 0.500 0.742 0.500  0.12
12 O 0.500 0.258 0.500  0.12


A geometry-optimized Sm6Ta2Ti4O21 structure. Source: the Alexandria database, functional PBE-GGA.

Values from the calculation:
- E_form (uncorrected) (eV/atom) = -3.22
- Fermi-level density of states (states/eV per atom) = 0.263
- magnetization (μB per cell) = 4.1

Cell lengths 7.369, 7.369, 16.383 Å; angles 77.60, 77.60, 89.94 degrees
Each line ends with the local moment (μB).
Atoms (fractional coordinates):
1 Sm 0.333 0.335 0.336  0.01
2 Sm 0.667 0.665 0.664  0.01
3 Sm 0.000 0.000 0.000  0.00
4 Sm 0.818 0.324 0.340  0.01
5 Sm 0.182 0.676 0.660  0.01
6 Sm 0.500 0.000 0.000  0.01
7 Sm 0.665 0.667 0.164  0.01
8 Sm 0.000 0.000 0.500  0.00
9 Sm 0.335 0.333 0.836  0.01
10 Sm 0.676 0.182 0.160  0.01
11 Sm 0.000 0.500 0.500  0.01
12 Sm 0.324 0.818 0.840  0.01
13 Ta 0.838 0.824 0.333  0.02
14 Ta 0.162 0.176 0.667  0.02
15 Ta 0.176 0.162 0.167  0.02
16 Ta 0.824 0.838 0.833  0.02
17 Ti 0.500 0.500 0.000  0.57
18 Ti 0.000 0.500 0.000  0.43
19 Ti 0.341 0.820 0.339  0.39
20 Ti 0.659 0.180 0.661  0.39
21 Ti 0.500 0.500 0.500  0.57
22 Ti 0.820 0.341 0.839  0.39
23 Ti 0.180 0.659 0.161  0.39
24 Ti 0.500 0.000 0.500  0.43
25 O 0.530 0.278 0.444  -0.01
26 O 0.854 0.611 0.784  0.00
27 O 0.196 0.945 0.112  0.00
28 O 0.722 0.470 0.056  -0.01
29 O 0.055 0.804 0.388  0.00
30 O 0.389 0.146 0.716  0.00
31 O 0.327 0.673 0.250  -0.01
32 O 0.668 0.002 0.582  -0.01
33 O 0.998 0.332 0.918  -0.01
34 O 0.927 0.073 0.250  0.00
35 O 0.252 0.415 0.585  0.00
36 O 0.585 0.748 0.915  0.00
37 O 0.929 0.675 0.249  0.00
38 O 0.252 0.004 0.585  0.00
39 O 0.577 0.327 0.918  -0.01
40 O 0.325 0.071 0.251  0.00
41 O 0.673 0.423 0.582  -0.01
42 O 0.996 0.748 0.915  0.00
43 O 0.804 0.055 0.888  0.00
44 O 0.146 0.389 0.216  0.00
45 O 0.470 0.722 0.556  -0.01
46 O 0.611 0.854 0.284  0.00
47 O 0.945 0.196 0.612  0.00
48 O 0.278 0.530 0.944  -0.01
49 O 0.002 0.668 0.082  -0.01
50 O 0.332 0.998 0.418  -0.01
51 O 0.673 0.327 0.750  -0.01
52 O 0.415 0.252 0.085  0.00
53 O 0.748 0.585 0.415  0.00
54 O 0.073 0.927 0.750  0.00
55 O 0.423 0.673 0.082  -0.01
56 O 0.748 0.996 0.415  0.00
57 O 0.071 0.325 0.751  0.00
58 O 0.004 0.252 0.085  0.00
59 O 0.327 0.577 0.418  -0.01
60 O 0.675 0.929 0.749  0.00
61 O 0.710 0.961 0.084  0.00
62 O 0.039 0.290 0.416  0.00
63 O 0.376 0.624 0.750  0.00
64 O 0.624 0.376 0.250  0.00
65 O 0.961 0.710 0.584  0.00
66 O 0.290 0.039 0.916  0.00